1.
# Ba3SrSb3 | the Alexandria database | GGA-PBE | relaxed
data_Ba3SrSb3
_space_group_name_H-M_alt 'P 21 3'
_space_group_IT_number 198
_space_group_name_Hall 'P 2ac 2ab 3'
_cell_length_a 10.441
_cell_length_b 10.441
_cell_length_c 10.441
_cell_angle_alpha 90.00
_cell_angle_beta 90.00
_cell_angle_gamma 90.00
loop_
_atom_site_label
_atom_site_type_symbol
_atom_site_fract_x
_atom_site_fract_y
_atom_site_fract_z
Ba1 Ba 0.070 0.430 0.570
Ba2 Ba 0.178 0.178 0.178
Ba3 Ba 0.178 0.822 0.322
Sr1 Sr 0.071 0.571 0.929
Sb1 Sb 0.000 0.255 0.870
# ΔE_f (raw), meV/atom: -1008.8
# D(E_F), states/eV per cell: 33.31
# E, eV/atom: -3.8399
# Crystal system: cubic

2.
# Ba5SrSb4 | the Alexandria database | GGA-PBE | relaxed
data_Ba5SrSb4
_space_group_name_H-M_alt 'I m m m'
_space_group_IT_number 71
_space_group_name_Hall '-I 2 2'
_cell_length_a 5.193
_cell_length_b 11.859
_cell_length_c 13.925
_cell_angle_alpha 90.00
_cell_angle_beta 90.00
_cell_angle_gamma 90.00
loop_
_atom_site_label
_atom_site_type_symbol
_atom_site_fract_x
_atom_site_fract_y
_atom_site_fract_z
Ba1 Ba 0.000 0.000 0.000
Ba2 Ba 0.000 0.307 0.167
Sr1 Sr 0.000 0.000 0.500
Sb1 Sb 0.000 0.000 0.263
Sb2 Sb 0.000 0.277 0.500
# Relative energy among the computed polymorphs, eV per atom: 0.069
# ΔE_f (raw), meV/atom: -900.9
# D(E_F), states/eV per cell: 4.87
# E, eV/atom: -3.6794
# Crystal system: orthorhombic

3.
# BaSr3Sb3 | the Alexandria database | GGA-PBE | relaxed
data_BaSr3Sb3
_space_group_name_H-M_alt 'P 21 3'
_space_group_IT_number 198
_space_group_name_Hall 'P 2ac 2ab 3'
_cell_length_a 10.168
_cell_length_b 10.168
_cell_length_c 10.168
_cell_angle_alpha 90.00
_cell_angle_beta 90.00
_cell_angle_gamma 90.00
loop_
_atom_site_label
_atom_site_type_symbol
_atom_site_fract_x
_atom_site_fract_y
_atom_site_fract_z
Ba1 Ba 0.072 0.428 0.572
Sr1 Sr 0.074 0.574 0.926
Sr2 Sr 0.178 0.822 0.322
Sr3 Sr 0.179 0.179 0.179
Sb1 Sb 0.000 0.256 0.880
# ΔE_f (raw), meV/atom: -1004.8
# D(E_F), states/eV per cell: 27.76
# E, eV/atom: -3.7670
# Crystal system: cubic

> Which value of ΔE_f (raw) does entry 3 give?

-1004.8 meV/atom